Record 1
The following is a DFT calculation (PBE) of a relaxed LiNiGe2 crystal.

Summary:
Distance to the lowest polymorph of the same formula, eV/atom: 0.042

abc: 3.0104 3.0104 6.6600
angles: 90.00 90.00 90.00
Closest atoms and distances in Å follow each position.
Space group P4/mmm (No. 123)
Symmetry-distinct sites (fractional):
1 Li 0.0000 0.0000 0.0000  8 Ge 2.87, 4 Li 3.01
2 Ni 0.0000 0.0000 0.5000  8 Ge 2.55
3 Ge 0.5000 0.5000 0.2885  4 Ni 2.55, 1 Ge 2.82

---

Record 2
The following is a DFT calculation (PBE) of a relaxed LiNiGe2 crystal.

Summary:
Distance to the lowest polymorph of the same formula, eV/atom: 0.283

abc: 3.8773 3.8773 16.6307
angles: 90.00 90.00 90.00
Closest atoms and distances in Å follow each position.
Space group I-42d (No. 122)
Symmetry-distinct sites (fractional):
1 Li 0.0000 0.0000 0.0000  4 Ge 2.51, 4 Ni 2.74
2 Ni 0.0000 0.0000 0.5000  4 Ge 2.47, 4 Li 2.74
3 Ge 0.2384 0.2500 0.6250  2 Ni 2.47, 2 Li 2.51, 2 Ge 2.68

---

Record 3
The following is a DFT calculation (PBE) of a relaxed Li3Ni2Ge4 crystal.

abc: 10.1688 4.0142 7.5657
angles: 90.00 106.15 90.00
Closest atoms and distances in Å follow each position.
Space group C2/m (No. 12)
Symmetry-distinct sites (fractional):
1 Li 0.0000 0.0000 0.0000  8 Ge 2.97-3.02
2 Li 0.1134 0.5000 0.6906  4 Ni 2.71-3.01, 7 Ge 2.82-2.90
3 Ni 0.1928 0.5000 0.3766  4 Ge 2.31-2.35
4 Ge 0.0897 0.0000 0.4079  3 Ni 2.31-2.35
5 Ge 0.2276 0.5000 0.0874  1 Ni 2.31, 2 Ge 2.51

---

Record 4
The following is a DFT calculation (PBE) of a relaxed Li6NiGe2 crystal.

abc: 7.2408 13.2745 3.1071
angles: 90.00 107.58 90.00
Closest atoms and distances in Å follow each position.
Space group C2/m (No. 12)
Symmetry-distinct sites (fractional):
1 Li 0.1873 0.1726 0.2580  4 Li 2.55-2.80, 3 Ge 2.65-2.81
2 Li 0.2049 0.0000 0.7866  2 Ni 2.55-2.57, 4 Li 2.74-2.80, 2 Ge 2.77
3 Ni 0.0000 0.5000 0.5000  4 Ge 2.44, 4 Li 2.55-2.57
4 Ge 0.0000 0.3584 0.0000  2 Ni 2.44, 2 Li 2.65

---

| no. | energy of formation from the pure elements (eV per atom) | final energy (eV per atom) | DOS(E_F) (states/eV/atom) |
| --- | --- | --- | --- |
| 1 | -0.23 | -4.463 | 0.247 |
| 2 | 0.01 | -4.222 | 0.491 |
| 3 | -0.29 | -4.267 | 0.343 |
| 4 | -0.23 | -3.172 | 0.284 |